Model a:
Here is an optimized crystal structure of PuInAs from the Open Quantum Materials Database. Energies are from GGA-PBE.

## Properties
space-group type	F-43m, No. 216
magnetization	6.0	μB/f.u.

Structure (POSCAR):
```
PuInAs
1.0
0.000 3.461 3.461
3.461 0.000 3.461
3.461 3.461 0.000
Pu As In
1 1 1
Cartesian
0.000 0.000 0.000 Pu
1.730 1.730 1.730 As
5.191 5.191 5.191 In
```

***

Model b:
Here is an optimized crystal structure of PuInAs from the Open Quantum Materials Database. Energies are from GGA-PBE.

## Properties
space-group type	F-43m, No. 216
magnetization	5.8	μB/f.u.

Structure (POSCAR):
```
PuInAs
1.0
4.879 -0.566 0.434
2.614 3.155 2.744
1.939 -1.480 4.285
As In Pu
1 1 1
Cartesian
4.716 0.554 3.731 As
2.358 0.277 1.866 In
0.000 0.000 0.000 Pu
```

***

Stability verdict: model a, ahead by 213 meV/atom

***

Model a:
Here is an optimized crystal structure of AsIr15 from the Open Quantum Materials Database. Energies are from GGA-PBE.

## Properties
space-group type	P2_1/m, No. 11
magnetization	0.0	μB/f.u.

Structure (POSCAR):
```
AsIr15
1.0
7.708 0.000 0.000
0.000 2.733 0.000
0.000 0.000 33.359
Ir As
30 2
Cartesian
2.892 2.050 14.630 Ir
0.960 0.683 24.133 Ir
0.962 0.683 15.986 Ir
4.816 0.683 18.729 Ir
2.898 2.050 22.815 Ir
6.748 2.050 20.087 Ir
6.748 2.050 9.226 Ir
6.736 2.050 22.811 Ir
4.810 0.683 10.543 Ir
4.817 0.683 21.455 Ir
0.964 0.683 18.720 Ir
4.821 0.683 13.270 Ir
6.744 2.050 11.893 Ir
0.972 0.683 10.547 Ir
0.964 0.683 21.466 Ir
0.959 0.683 13.271 Ir
4.820 0.683 15.996 Ir
6.743 2.050 6.549 Ir
6.770 2.050 25.611 Ir
0.965 0.683 26.809 Ir
2.866 2.050 25.608 Ir
2.888 2.050 17.363 Ir
2.891 2.050 11.904 Ir
2.890 2.050 9.151 Ir
2.886 2.050 20.088 Ir
0.938 0.683 7.748 Ir
6.743 2.050 14.639 Ir
4.817 0.683 24.207 Ir
4.841 0.683 7.751 Ir
6.746 2.050 17.373 Ir
4.818 0.683 26.789 As
2.890 2.050 6.569 As
```

***

Model b:
Here is an optimized crystal structure of AsIr15 from the Open Quantum Materials Database. Energies are from GGA-PBE.

## Properties
space-group type	P2_1/m, No. 11
magnetization	0.0	μB/f.u.

Structure (POSCAR):
```
AsIr15
1.0
5.440 0.000 0.000
0.000 2.737 0.000
-0.005 0.000 43.636
Ir As
30 2
Cartesian
0.681 2.053 31.095 Ir
0.673 2.053 38.820 Ir
4.755 0.684 40.750 Ir
0.679 2.053 6.740 Ir
4.758 0.684 29.231 Ir
2.039 0.684 8.677 Ir
3.394 2.053 42.673 Ir
2.035 0.684 40.744 Ir
2.035 0.684 36.886 Ir
2.035 0.684 33.003 Ir
3.387 2.053 31.091 Ir
2.047 0.684 12.545 Ir
0.676 2.053 14.406 Ir
3.399 2.053 6.751 Ir
4.754 0.684 12.541 Ir
4.755 0.684 36.897 Ir
0.675 2.053 42.673 Ir
4.755 0.684 33.048 Ir
4.762 0.684 4.816 Ir
3.397 2.053 38.820 Ir
0.675 2.053 34.960 Ir
4.760 0.684 0.964 Ir
3.399 2.053 10.634 Ir
0.680 2.053 10.588 Ir
2.040 0.684 0.963 Ir
3.396 2.053 34.959 Ir
2.038 0.684 4.816 Ir
0.680 2.053 2.887 Ir
3.400 2.053 2.893 Ir
4.760 0.684 8.677 Ir
2.040 0.684 29.150 As
3.395 2.053 14.487 As
```

***

Stability verdict: model b, ahead by 28 meV/atom

***

Model a:
Here is an optimized crystal structure of AsIr15 from the Open Quantum Materials Database. Energies are from GGA-PBE.

## Properties
space-group type	P2/c, No. 13
magnetization	0.0	μB/f.u.

Structure (POSCAR):
```
AsIr15
1.0
-0.905 -3.782 2.673
4.629 0.253 -0.884
3.952 17.153 25.601
Ir As
30 2
Cartesian
1.392 1.151 5.564 Ir
5.605 9.520 17.421 Ir
3.814 11.668 21.258 Ir
4.561 4.991 10.662 Ir
3.462 10.137 18.972 Ir
4.908 6.496 12.908 Ir
6.285 12.472 21.828 Ir
3.862 1.957 6.132 Ir
5.187 7.635 10.450 Ir
3.394 9.771 14.267 Ir
5.256 8.005 15.161 Ir
4.215 3.487 8.417 Ir
3.739 11.270 16.505 Ir
2.421 5.619 12.230 Ir
4.087 12.779 18.757 Ir
1.726 2.606 7.733 Ir
1.999 3.721 5.238 Ir
2.768 7.129 14.483 Ir
3.115 8.633 16.728 Ir
5.883 10.652 14.953 Ir
5.950 11.018 19.657 Ir
4.494 4.627 5.960 Ir
6.582 13.685 19.479 Ir
5.535 9.142 12.699 Ir
2.699 6.753 9.764 Ir
3.047 8.264 12.019 Ir
4.842 6.136 8.212 Ir
2.071 4.104 9.968 Ir
6.229 12.154 17.195 Ir
2.352 5.251 7.521 Ir
4.148 3.119 3.711 As
4.434 14.286 21.007 As
```

***

Model b:
Here is an optimized crystal structure of AsIr15 from the Open Quantum Materials Database. Energies are from GGA-PBE.

## Properties
space-group type	Pccm, No. 49
magnetization	0.0	μB/f.u.

Structure (POSCAR):
```
AsIr15
1.0
-5.726 -0.595 -5.137
-23.821 -22.322 29.142
-1.512 3.313 1.302
Ir As
60 4
Cartesian
-17.056 -13.017 19.062 Ir
-11.054 -9.763 12.008 Ir
-19.451 -17.625 22.262 Ir
-15.246 -13.692 17.138 Ir
-20.301 -12.483 13.933 Ir
-8.963 -7.799 9.436 Ir
-19.540 -14.161 19.087 Ir
-14.301 -9.225 6.867 Ir
-22.284 -17.920 19.722 Ir
-11.814 -8.092 6.870 Ir
-12.213 -7.263 4.299 Ir
-22.024 -15.294 19.088 Ir
-11.144 -6.287 8.800 Ir
-6.572 -3.191 6.233 Ir
-17.733 -14.826 17.135 Ir
-18.493 -13.154 11.997 Ir
-19.157 -14.987 21.634 Ir
-16.397 -11.192 9.437 Ir
-11.438 -8.929 9.440 Ir
-13.916 -10.059 9.435 Ir
-22.402 -14.446 16.490 Ir
-24.487 -16.413 19.074 Ir
-17.335 -15.654 19.706 Ir
-10.758 -7.122 11.374 Ir
-4.761 -3.885 4.357 Ir
-8.658 -5.159 8.817 Ir
-24.786 -19.032 19.648 Ir
-9.704 -6.115 4.290 Ir
-21.655 -16.119 21.615 Ir
-9.035 -4.310 6.219 Ir
-7.263 -4.998 4.283 Ir
-17.820 -11.351 13.936 Ir
-13.533 -10.892 12.002 Ir
-9.859 -2.680 1.113 Ir
-11.519 -5.444 6.219 Ir
-15.339 -10.220 13.938 Ir
-15.720 -9.385 11.369 Ir
-19.843 -16.803 19.715 Ir
-20.225 -15.967 17.144 Ir
-14.952 -11.051 16.503 Ir
-20.584 -15.119 14.569 Ir
-16.014 -12.025 12.003 Ir
-12.860 -9.089 13.939 Ir
-13.240 -8.253 11.370 Ir
-17.434 -12.183 16.501 Ir
-13.150 -11.726 14.568 Ir
-9.404 -3.486 3.691 Ir
-11.902 -4.618 3.672 Ir
-13.626 -7.422 8.806 Ir
-15.631 -12.859 14.570 Ir
-14.003 -6.588 6.244 Ir
-6.861 -5.829 6.866 Ir
-16.108 -8.554 8.804 Ir
-21.200 -16.924 24.194 Ir
-18.199 -10.516 11.368 Ir
-10.096 -5.293 1.743 Ir
-9.322 -6.951 6.861 Ir
-19.915 -13.318 16.506 Ir
-22.686 -17.089 17.139 Ir
-18.109 -13.988 14.565 Ir
-6.408 -2.164 3.809 As
-21.712 -18.870 22.805 As
-7.835 -4.048 1.200 As
-24.651 -17.440 21.497 As
```

***

Stability verdict: model b, ahead by 62 meV/atom